# 1
Density functional theory data (GGA-PBEsol) for crystalline Cr2HgRh at its relaxed geometry.

## Properties
- calculated density (g/cm3) = 12.2
- energy of formation (eV/atom) = 0.480

Cell: 2.702 4.705 4.705 Å, 111.80 90.00 90.00°
Site moments in Bohr magnetons follow the coordinates.
Atoms (fractional coordinates):
Hg 0.500 0.500 0.500  -0.01
Cr 0.000 0.500 0.000  0.80
Cr 0.000 0.000 0.500  0.80
Rh 0.500 0.000 0.000  0.04

---

# 2
Density functional theory data (GGA-PBEsol) for crystalline CrHg2Rh at its relaxed geometry.

## Properties
- calculated density (g/cm3) = 13.9
- energy of formation (eV/atom) = 0.177

Cell: 2.877 2.877 8.001 Å, 90.00 90.00 90.00°
Site moments in Bohr magnetons follow the coordinates.
Atoms (fractional coordinates):
Cr 0.500 0.500 0.716  1.04
Rh 0.000 0.000 0.541  -0.05
Hg 0.500 0.500 0.279  -0.01
Hg 0.000 0.000 0.964  -0.02